[1]
The following is a DFT calculation (PBE-GGA) of a relaxed HfBi3F crystal.

a = 5.0184 Å, b = 5.0184 Å, c = 5.0184 Å
α = 90.00°, β = 90.00°, γ = 90.00°
Space group Pm-3m (No. 221)
Asymmetric unit:
1 Hf 0.0000 0.0000 0.0000 (multiplicity 1)
2 Bi 0.0000 0.5000 0.5000 (multiplicity 3)
3 F 0.5000 0.5000 0.5000 (multiplicity 1)

Values from the calculation:
Total magnetic moment in μB per formula unit: 0.00
Offset from the most stable computed form in meV/atom: 0.0
DFT total energy in eV/f.u.: -24.34

[2]
The following is a DFT calculation (PBE-GGA) of a relaxed HfBi2F crystal.

a = 7.6984 Å, b = 7.6984 Å, c = 6.2618 Å
α = 90.00°, β = 90.00°, γ = 90.00°
Space group I-42d (No. 122)
Asymmetric unit:
1 Hf 0.0000 0.0000 0.0000 (multiplicity 4)
2 Bi 0.1963 0.2500 0.6250 (multiplicity 8)
3 F 0.0000 0.0000 0.5000 (multiplicity 4)

Values from the calculation:
Total magnetic moment in μB per formula unit: 0.00
Offset from the most stable computed form in meV/atom: 11.1
DFT total energy in eV/f.u.: -21.05

[3]
The following is a DFT calculation (PBE-GGA) of a relaxed HfBi2F crystal.

a = 7.1898 Å, b = 7.1898 Å, c = 7.1898 Å
α = 90.00°, β = 90.00°, γ = 90.00°
Space group Fm-3m (No. 225)
Asymmetric unit:
1 Hf 0.0000 0.0000 0.0000 (multiplicity 4)
2 Bi 0.2500 0.2500 0.2500 (multiplicity 8)
3 F 0.0000 0.0000 0.5000 (multiplicity 4)

Values from the calculation:
Total magnetic moment in μB per formula unit: 0.00
Offset from the most stable computed form in meV/atom: 0.0
DFT total energy in eV/f.u.: -21.10

[4]
The following is a DFT calculation (PBE-GGA) of a relaxed Li2HfBiF crystal.

a = 5.2374 Å, b = 5.2374 Å, c = 4.5309 Å
α = 90.00°, β = 90.00°, γ = 90.00°
Space group P4/mmm (No. 123)
Asymmetric unit:
1 Li 0.0000 0.5000 0.0000 (multiplicity 2)
2 Hf 0.0000 0.0000 0.5000 (multiplicity 1)
3 Bi 0.5000 0.5000 0.0000 (multiplicity 1)
4 F 0.5000 0.5000 0.5000 (multiplicity 1)

Values from the calculation:
Total magnetic moment in μB per formula unit: 2.06
DFT total energy in eV/f.u.: -18.48

Number 1: ΔE_f (raw) -0.18 eV per atom. Number 2: ΔE_f (raw) -0.37 eV per atom. Number 3: ΔE_f (raw) -0.38 eV per atom. Number 4: ΔE_f (raw) 0.21 eV per atom.